A PBEsol-optimized structure of Na3PtRh, computed with SCAN.

Unit cell a=4.981 b=4.981 c=4.981 alpha=90.00 beta=90.00 gamma=90.00
Space group Pm-3m (No. 221)
One atom of each set of equivalent atoms:
Na (0.000, 0.000, 0.500)
Pt (0.500, 0.500, 0.500)
Rh (0.000, 0.000, 0.000)

Computed properties:
The formation energy comes out at 1.051 eV/atom.


A PBEsol-optimized structure of Na3RuPt, computed with SCAN.

Unit cell a=5.272 b=5.272 c=5.272 alpha=90.00 beta=90.00 gamma=90.00
Space group Pm-3m (No. 221)
One atom of each set of equivalent atoms:
Na (0.000, 0.000, 0.500)
Ru (0.500, 0.500, 0.500)
Pt (0.000, 0.000, 0.000)

Computed properties:
The formation energy comes out at 0.974 eV/atom.


A PBEsol-optimized structure of NaRu3Pt, computed with SCAN.

Unit cell a=4.757 b=4.757 c=4.757 alpha=90.00 beta=90.00 gamma=90.00
Space group Pm-3m (No. 221)
One atom of each set of equivalent atoms:
Na (0.000, 0.000, 0.000)
Ru (0.000, 0.500, 0.500)
Pt (0.500, 0.500, 0.500)

Computed properties:
The formation energy comes out at 1.658 eV/atom.


A PBEsol-optimized structure of NaPtS2, computed with SCAN.

Unit cell a=6.307 b=6.307 c=6.307 alpha=90.00 beta=90.00 gamma=90.00
Space group Fm-3m (No. 225)
One atom of each set of equivalent atoms:
Na (0.000, 0.000, 0.000)
Pt (0.000, 0.000, 0.500)
S (0.250, 0.250, 0.250)

Computed properties:
The energy relative to the elements, uncorrected comes out at 46.4 meV per atom.


A PBEsol-optimized structure of NaSb2Pt2, computed with SCAN.

Unit cell a=4.859 b=4.859 c=9.646 alpha=90.00 beta=90.00 gamma=90.00
Space group I4/mmm (No. 139)
One atom of each set of equivalent atoms:
Na (0.000, 0.000, 0.000)
Sb (0.000, 0.500, 0.250)
Pt (0.000, 0.000, 0.362)

Computed properties:
The energy relative to the elements, uncorrected comes out at -442.8 meV per atom.


A PBEsol-optimized structure of NaSc3Pt, computed with SCAN.

Unit cell a=5.131 b=5.131 c=5.131 alpha=90.00 beta=90.00 gamma=90.00
Space group Pm-3m (No. 221)
One atom of each set of equivalent atoms:
Na (0.000, 0.000, 0.000)
Sc (0.000, 0.500, 0.500)
Pt (0.500, 0.500, 0.500)

Computed properties:
The formation energy comes out at -0.366 eV/atom.


A PBEsol-optimized structure of NaSc3Pt, computed with SCAN.

Unit cell a=4.840 b=4.840 c=4.840 alpha=90.00 beta=90.00 gamma=90.00
Space group Pm-3m (No. 221)
One atom of each set of equivalent atoms:
Na (0.000, 0.000, 0.000)
Sc (0.000, 0.000, 0.500)
Pt (0.500, 0.500, 0.500)

Computed properties:
The formation energy comes out at 1.070 eV/atom.


A PBEsol-optimized structure of NaZrSc2Pt, computed with SCAN.

Unit cell a=4.804 b=4.804 c=4.880 alpha=90.00 beta=90.00 gamma=90.00
Space group P4/mmm (No. 123)
One atom of each set of equivalent atoms:
Na (0.000, 0.000, 0.000)
Zr (0.000, 0.000, 0.500)
Sc (0.000, 0.500, 0.500)
Pt (0.500, 0.500, 0.000)

Computed properties:
The formation energy comes out at 1.162 eV/atom.


A PBEsol-optimized structure of Na3PtSe, computed with SCAN.

Unit cell a=5.325 b=5.325 c=5.325 alpha=90.00 beta=90.00 gamma=90.00
Space group Pm-3m (No. 221)
One atom of each set of equivalent atoms:
Na (0.000, 0.000, 0.500)
Pt (0.500, 0.500, 0.500)
Se (0.000, 0.000, 0.000)

Computed properties:
The energy relative to the elements, uncorrected comes out at -114.6 meV per atom.


A PBEsol-optimized structure of NaPtSe2, computed with SCAN.

Unit cell a=6.599 b=6.599 c=6.599 alpha=90.00 beta=90.00 gamma=90.00
Space group Fm-3m (No. 225)
One atom of each set of equivalent atoms:
Na (0.000, 0.000, 0.000)
Pt (0.000, 0.000, 0.500)
Se (0.250, 0.250, 0.250)

Computed properties:
The energy relative to the elements, uncorrected comes out at -20.9 meV per atom.


A PBEsol-optimized structure of NaPt3Se, computed with SCAN.

Unit cell a=4.566 b=4.566 c=4.566 alpha=90.00 beta=90.00 gamma=90.00
Space group Pm-3m (No. 221)
One atom of each set of equivalent atoms:
Na (0.000, 0.000, 0.000)
Pt (0.000, 0.000, 0.500)
Se (0.500, 0.500, 0.500)

Computed properties:
The energy relative to the elements, uncorrected comes out at 1751.8 meV per atom.


A PBEsol-optimized structure of Na2SiPt2, computed with SCAN.

Unit cell a=6.119 b=6.119 c=4.975 alpha=90.00 beta=90.00 gamma=90.00
Space group P4/mbm (No. 127)
One atom of each set of equivalent atoms:
Na (0.169, 0.331, 0.000)
Si (0.000, 0.000, 0.500)
Pt (0.151, 0.651, 0.500)

Computed properties:
The energy relative to the elements, uncorrected comes out at -543.6 meV per atom.


no.,size of the total moment (μB per atom)
1,0.114
2,0.605
3,1.198
4,0.393
5,0.000
6,0.000
7,0.619
8,0.000
9,0.200
10,0.377
11,0.001
12,0.000